Compound: CaCeZnGe
Source: Alexandria via LeMat-Bulk
Functional: PBE
Structure: optimized geometry

ΔH_f (0 K): -434 meV per atom
N(E_F): 1.792 states/eV/atom

a = 7.260 Å, b = 7.260 Å, c = 7.260 Å
α = 90.00°, β = 90.00°, γ = 90.00°
Space group F-43m (No. 216)
Inequivalent atoms, fractional coordinates:
Ca 0.000 0.000 0.000 [4 per cell]
Ce 0.000 0.000 0.500 [4 per cell]
Zn 0.250 0.250 0.750 [4 per cell]
Ge 0.250 0.250 0.250 [4 per cell]

Compound: Ca2CeH
Source: Alexandria via LeMat-Bulk
Functional: PBE
Structure: optimized geometry

N(E_F): 1.867 states/eV/atom
Final energy: -38.789 eV per cell

a = 3.5031 Å, b = 3.5031 Å, c = 29.5898 Å
α = 90.00°, β = 90.00°, γ = 120.00°
Space group R-3m (No. 166, hexagonal axes)
Inequivalent atoms, fractional coordinates:
Ca 0.0000 0.0000 0.1159 [6 per cell]
Ce 0.0000 0.0000 0.0000 [3 per cell]
H 0.0000 0.0000 0.5000 [3 per cell]

Compound: CaCe3H
Source: Alexandria via LeMat-Bulk
Functional: PBE
Structure: optimized geometry

N(E_F): 2.440 states/eV/atom
Final energy: -22.940 eV per cell

a = 5.070 Å, b = 5.070 Å, c = 5.070 Å
α = 90.00°, β = 90.00°, γ = 90.00°
Space group Pm-3m (No. 221)
Inequivalent atoms, fractional coordinates:
Ca 0.000 0.000 0.000 [1 per cell]
Ce 0.000 0.500 0.500 [3 per cell]
H 0.500 0.500 0.500 [1 per cell]

Compound: Ca2CeH6
Source: Alexandria via LeMat-Bulk
Functional: PBE
Structure: optimized geometry

E above lowest polymorph: 0.000 eV/atom
N(E_F): 0.659 states/eV/atom

a = 3.7981 Å, b = 3.7981 Å, c = 9.5434 Å
α = 90.00°, β = 90.00°, γ = 120.00°
Space group P-3m1 (No. 164)
Inequivalent atoms, fractional coordinates:
Ca 0.3333 0.6667 0.1642 [2 per cell]
Ce 0.0000 0.0000 0.5000 [1 per cell]
H 0.0000 0.0000 0.2543 [2 per cell]
H 0.3333 0.6667 0.4140 [2 per cell]
H 0.3333 0.6667 0.9197 [2 per cell]

Compound: Ca5Ce3H12
Source: Alexandria via LeMat-Bulk
Functional: PBE
Structure: optimized geometry

N(E_F): 1.105 states/eV/atom
Final energy: -604.963 eV per cell

a = 13.464 Å, b = 13.464 Å, c = 13.464 Å
α = 90.00°, β = 90.00°, γ = 90.00°
Space group Ia-3d (No. 230)
Inequivalent atoms, fractional coordinates:
Ca 0.000 0.000 0.000 [16 per cell]
Ca 0.000 0.250 0.375 [24 per cell]
Ce 0.000 0.250 0.125 [24 per cell]
H 0.007 0.072 0.655 [96 per cell]

Compound: Ca2CeH8
Source: Alexandria via LeMat-Bulk
Functional: PBE
Structure: optimized geometry

Final energy: -84.372 eV per cell

a = 3.606 Å, b = 5.560 Å, c = 11.134 Å
α = 90.00°, β = 90.00°, γ = 90.00°
Space group Immm (No. 71)
Inequivalent atoms, fractional coordinates:
Ca 0.000 0.000 0.178 [4 per cell]
Ce 0.000 0.000 0.500 [2 per cell]
H 0.000 0.233 0.000 [4 per cell]
H 0.000 0.259 0.346 [8 per cell]
H 0.000 0.500 0.138 [4 per cell]

Compound: Ca2CeH6
Source: Alexandria via LeMat-Bulk
Functional: PBE
Structure: optimized geometry

E above lowest polymorph: 0.586 eV/atom
N(E_F): 0.790 states/eV/atom

a = 8.107 Å, b = 8.107 Å, c = 8.107 Å
α = 90.00°, β = 90.00°, γ = 90.00°
Space group Fm-3m (No. 225)
Inequivalent atoms, fractional coordinates:
Ca 0.250 0.250 0.250 [8 per cell]
Ce 0.000 0.000 0.000 [4 per cell]
H 0.000 0.000 0.272 [24 per cell]

Compound: CaCeNi2H8
Source: Alexandria via LeMat-Bulk
Functional: PBE
Structure: optimized geometry

N(E_F): 0.507 states/eV/atom
Final energy: -148.116 eV per cell

a = 4.4997 Å, b = 4.4997 Å, c = 19.0014 Å
α = 90.00°, β = 90.00°, γ = 120.00°
Space group R-3m (No. 166, hexagonal axes)
Inequivalent atoms, fractional coordinates:
Ca 0.0000 0.0000 0.0000 [3 per cell]
Ce 0.0000 0.0000 0.5000 [3 per cell]
Ni 0.0000 0.0000 0.2356 [6 per cell]
H 0.0000 0.0000 0.1509 [6 per cell]
H 0.0304 0.5152 0.0614 [18 per cell]

Compound: CaCeH6Pt2
Source: Alexandria via LeMat-Bulk
Functional: PBE
Structure: optimized geometry

N(E_F): 0.263 states/eV/atom
Final energy: -131.298 eV per cell

a = 4.6483 Å, b = 4.6483 Å, c = 20.7941 Å
α = 90.00°, β = 90.00°, γ = 120.00°
Space group R-3 (No. 148, hexagonal axes)
Inequivalent atoms, fractional coordinates:
Ca 0.0000 0.0000 0.0000 [3 per cell]
Ce 0.0000 0.0000 0.5000 [3 per cell]
H 0.0026 0.6412 0.2514 [18 per cell]
Pt 0.0000 0.0000 0.2458 [6 per cell]

Compound: Ca3Ce2HfN6
Source: Alexandria via LeMat-Bulk
Functional: PBE
Structure: optimized geometry

Formation energy from raw total energies: -16.78 eV/f.u.

a = 6.031 Å, b = 10.457 Å, c = 6.020 Å
α = 90.00°, β = 109.47°, γ = 90.00°
Space group C2/m (No. 12)
Inequivalent atoms, fractional coordinates:
Ca 0.000 0.000 0.000 [2 per cell]
Ca 0.000 0.338 0.000 [4 per cell]
Ce 0.000 0.167 0.500 [4 per cell]
Hf 0.000 0.500 0.500 [2 per cell]
N 0.231 0.342 0.718 [8 per cell]
N 0.245 0.500 0.284 [4 per cell]

Compound: Ca3CeHf2N6
Source: Alexandria via LeMat-Bulk
Functional: PBE
Structure: optimized geometry

Formation energy from raw total energies: -17.82 eV/f.u.

a = 14.944 Å, b = 3.376 Å, c = 6.883 Å
α = 90.00°, β = 104.16°, γ = 90.00°
Space group C2/m (No. 12)
Inequivalent atoms, fractional coordinates:
Ca 0.000 0.000 0.000 [2 per cell]
Ca 0.170 0.500 0.331 [4 per cell]
Ce 0.000 0.000 0.500 [2 per cell]
Hf 0.170 0.500 0.840 [4 per cell]
N 0.015 0.500 0.747 [4 per cell]
N 0.165 0.000 0.617 [4 per cell]
N 0.176 0.000 0.066 [4 per cell]

Compound: Ca2CeHfN4
Source: Alexandria via LeMat-Bulk
Functional: PBE
Structure: optimized geometry

Formation energy from raw total energies: -11.45 eV/f.u.

a = 5.965 Å, b = 3.429 Å, c = 5.992 Å
α = 90.00°, β = 109.24°, γ = 90.00°
Space group P2/m (No. 10)
Inequivalent atoms, fractional coordinates:
Ca 0.000 0.000 0.000 [1 per cell]
Ca 0.500 0.500 0.000 [1 per cell]
Ce 0.000 0.500 0.500 [1 per cell]
Hf 0.500 0.000 0.500 [1 per cell]
N 0.257 0.000 0.716 [2 per cell]
N 0.273 0.500 0.284 [2 per cell]

Question: What is the formula in the sixth record?
Answer: Ca2CeH8